The following is a GGA-PBE calculation of crystalline UPaIrPd at its relaxed geometry, from Alexandria via LeMat-Bulk.

Values from the calculation:
E_form	-55.0	kJ/mol of atoms
N(E_F)	1.71	states/eV per atom
electronic total energy	-9.280	eV per atom
magnetization	2.097	μB per cell

Cell: 4.720 4.720 4.720 Å, 60.00 60.00 60.00°
Atoms (fractional coordinates):
1 U 0.000 0.000 0.000
2 Pa 0.250 0.250 0.250
3 Ir 0.750 0.750 0.750
4 Pd 0.500 0.500 0.500